Crystalline TbAl4NiPt2 at its relaxed geometry, computed with PBE-GGA.

a = 8.9863 Å, b = 8.9863 Å, c = 8.9863 Å
α = 27.24°, β = 27.24°, γ = 27.24°
Last column: nearest neighbours and their distance in Å.
Fractional positions:
1 Tb 0.0000 0.0000 0.0000  6 Al 3.06
2 Al 0.1356 0.1356 0.1356  3 Ni 2.57, 4 Pt 2.64-2.65
3 Al 0.4046 0.4046 0.4046  1 Ni 2.47, 3 Pt 2.53
4 Al 0.5954 0.5954 0.5954  1 Ni 2.47, 3 Pt 2.53
5 Al 0.8644 0.8644 0.8644  3 Ni 2.57, 4 Pt 2.64-2.65
6 Ni 0.5000 0.5000 0.5000  8 Al 2.47-2.57
7 Pt 0.2373 0.2373 0.2373  7 Al 2.53-2.65
8 Pt 0.7627 0.7627 0.7627  7 Al 2.53-2.65

Values from the calculation:
E_form = -6.7 eV/f.u.
Magnetic moment = 0.0 μB per formula unit
SG = No. 166